# BaCdHgI4, relaxed, DFT PBE-GGA
# Magnetization ... 0.000 μB/f.u.
# Density ... 4.19 g/cm³
# Volume ... 54.30 Å³/atom
# Electronic total energy ... -16.2 eV/f.u.
# DOS(E_F) ... 0.000 states/eV/f.u.
# Uncorrected formation energy ... -973.9 meV per atom
data_BaCdHgI4
_chemical_formula_sum 'Ba4 Cd4 Hg4 I16'
_symmetry_space_group_name_H-M 'C 1 2/m 1'
_symmetry_Int_Tables_number 12
_cell_length_a 18.737
_cell_length_b 10.251
_cell_length_c 8.505
_cell_angle_alpha 90.00
_cell_angle_beta 111.47
_cell_angle_gamma 90.00
loop_
_symmetry_equiv_pos_as_xyz
'x,y,z'
'-x,-y,-z'
'-x,y,-z'
'x,-y,z'
'x+1/2,y+1/2,z'
'-x+1/2,-y+1/2,-z'
'-x+1/2,y+1/2,-z'
'x+1/2,-y+1/2,z'
loop_
_atom_site_label
_atom_site_type_symbol
_atom_site_fract_x
_atom_site_fract_y
_atom_site_fract_z
Ba1 Ba 0.244 0.000 0.146
Cd1 Cd 0.179 0.000 0.580
Hg1 Hg 0.065 0.500 0.921
I1 I 0.082 0.000 0.242
I2 I 0.151 0.203 0.784
I3 I 0.170 0.500 0.413